Run P
## ReTcMo2H (PBE)

Data for a relaxed structure of ReTcMo2H.

a b c (Å): 4.0038 4.0038 3.9509
angles (deg): 90.00 90.00 90.00
Last column: nearest neighbours and their distance in Å.
Space group P4/mmm (No. 123)
One atom of each set of equivalent atoms:
Re1 0.0000 0.0000 0.0000  8 Mo 2.81, 4 Tc 2.83
Tc1 0.5000 0.5000 0.0000  2 H 1.98
Mo1 0.0000 0.5000 0.5000  2 H 2.00
H1 0.5000 0.5000 0.5000  2 Tc 1.98, 4 Mo 2.00

***

Run Q
## ReTcMo2H (PBE)

Data for a relaxed structure of ReTcMo2H.

a b c (Å): 4.0012 4.0012 3.9666
angles (deg): 90.00 90.00 90.00
Last column: nearest neighbours and their distance in Å.
Space group P4/mmm (No. 123)
One atom of each set of equivalent atoms:
Re1 0.0000 0.0000 0.0000  2 H 1.98
Tc1 0.5000 0.5000 0.0000  8 Mo 2.82, 4 Re 2.83
Mo1 0.0000 0.5000 0.5000  2 H 2.00
H1 0.0000 0.0000 0.5000  2 Re 1.98, 4 Mo 2.00

***

Which structure is most stable? run P, by 33 meV/atom over the runner-up.

***

Run P
## ReMo2HW (PBE)

Data for a relaxed structure of ReMo2HW.

a b c (Å): 4.0084 4.0084 4.0571
angles (deg): 90.00 90.00 90.00
Last column: nearest neighbours and their distance in Å.
Space group P4/mmm (No. 123)
One atom of each set of equivalent atoms:
Re1 0.0000 0.0000 0.0000  4 W 2.83, 8 Mo 2.85
Mo1 0.0000 0.5000 0.5000  2 H 2.00
H1 0.5000 0.5000 0.5000  4 Mo 2.00, 2 W 2.03
W1 0.5000 0.5000 0.0000  2 H 2.03

***

Run Q
## ReMo2HW (PBE)

Data for a relaxed structure of ReMo2HW.

a b c (Å): 4.8676 4.8676 3.1770
angles (deg): 90.00 90.00 90.00
Last column: nearest neighbours and their distance in Å.
Space group P4/mmm (No. 123)
One atom of each set of equivalent atoms:
Re1 0.0000 0.0000 0.0000  8 Mo 2.91, 2 Re 3.18
Mo1 0.0000 0.5000 0.5000  2 W 2.43
H1 0.5000 0.5000 0.0000  2 W 1.59
W1 0.5000 0.5000 0.5000  2 H 1.59

***

Which structure is most stable? run P, by 1082 meV/atom over the runner-up.

***

Run P
## Re2MoHW (PBE)

Data for a relaxed structure of Re2MoHW.

a b c (Å): 3.9906 3.9906 4.0364
angles (deg): 90.00 90.00 90.00
Last column: nearest neighbours and their distance in Å.
Space group P4/mmm (No. 123)
One atom of each set of equivalent atoms:
Re1 0.0000 0.5000 0.0000  2 H 2.00
Mo1 0.0000 0.0000 0.5000  4 W 2.82, 8 Re 2.84
H1 0.5000 0.5000 0.0000  4 Re 2.00, 2 W 2.02
W1 0.5000 0.5000 0.5000  2 H 2.02

***

Run Q
## Re2MoHW (PBE)

Data for a relaxed structure of Re2MoHW.

a b c (Å): 3.9949 3.9949 4.0220
angles (deg): 90.00 90.00 90.00
Last column: nearest neighbours and their distance in Å.
Space group P4/mmm (No. 123)
One atom of each set of equivalent atoms:
Re1 0.0000 0.5000 0.0000  2 H 2.00
Mo1 0.0000 0.0000 0.5000  2 H 2.01
H1 0.0000 0.0000 0.0000  4 Re 2.00, 2 Mo 2.01
W1 0.5000 0.5000 0.5000  4 Mo 2.82, 8 Re 2.83

***

Which structure is most stable? run Q, by 21 meV/atom over the runner-up.

***

Run P
## Mo2H2Rh (PBE)

Data for a relaxed structure of Mo2H2Rh.

a b c (Å): 6.1234 6.1234 2.7492
angles (deg): 90.00 90.00 90.00
Last column: nearest neighbours and their distance in Å.
Space group P4/mbm (No. 127)
One atom of each set of equivalent atoms:
Mo1 0.1432 0.3568 0.0000  6 H 2.21-2.34
H1 0.1384 0.6384 0.5000  6 Mo 2.21-2.34, 2 Rh 2.37, 1 H 2.40
Rh1 0.0000 0.0000 0.5000  4 H 2.37

***

Run Q
## Mo2H2Rh (PBE)

Data for a relaxed structure of Mo2H2Rh.

a b c (Å): 3.4675 3.4675 8.5804
angles (deg): 90.00 90.00 90.00
Last column: nearest neighbours and their distance in Å.
Space group I4/mmm (No. 139)
One atom of each set of equivalent atoms:
Mo1 0.0000 0.0000 0.1557  4 H 1.91
H1 0.0000 0.5000 0.2500  4 Mo 1.91
Rh1 0.0000 0.0000 0.5000  8 H 2.76, 10 Mo 2.79-2.95

***

Which structure is most stable? run Q, by 17 meV/atom over the runner-up.

***

Run P
## Mo2HRh (PBE)

Data for a relaxed structure of Mo2HRh.

a b c (Å): 2.8256 2.8256 20.7168
angles (deg): 90.00 90.00 120.00
Last column: nearest neighbours and their distance in Å.
Space group R3m (No. 160, hexagonal axes)
One atom of each set of equivalent atoms:
Mo1 0.0000 0.0000 0.0000  3 H 2.08
Mo2 0.0000 0.0000 0.2116  3 H 2.05
H1 0.0000 0.0000 0.6047  6 Mo 2.05-2.08
Rh1 0.0000 0.0000 0.7736  6 Mo 2.71-2.75, 6 Rh 2.83

***

Run Q
## Mo2HRh (PBE)

Data for a relaxed structure of Mo2HRh.

a b c (Å): 2.7984 2.7984 22.3622
angles (deg): 90.00 90.00 120.00
Last column: nearest neighbours and their distance in Å.
Space group R-3m (No. 166, hexagonal axes)
One atom of each set of equivalent atoms:
Mo1 0.0000 0.0000 0.1112  3 H 2.04
H1 0.0000 0.0000 0.5000  6 Mo 2.04
Rh1 0.0000 0.0000 0.0000  2 Mo 2.49

***

Run R
## Mo2HRh (PBE)

Data for a relaxed structure of Mo2HRh.

a b c (Å): 5.9870 5.9870 5.9870
angles (deg): 90.00 90.00 90.00
Last column: nearest neighbours and their distance in Å.
Space group Fm-3m (No. 225)
One atom of each set of equivalent atoms:
Mo1 0.2500 0.2500 0.2500  4 H 2.59, 4 Rh 2.59
H1 0.0000 0.0000 0.0000  8 Mo 2.59
Rh1 0.0000 0.0000 0.5000  8 Mo 2.59

***

Which structure is most stable? run P, by 409 meV/atom over the runner-up.

***

Run P
## MoH2Rh2 (PBE)

Data for a relaxed structure of MoH2Rh2.

a b c (Å): 2.8246 2.8246 12.5050
angles (deg): 90.00 90.00 90.00
Last column: nearest neighbours and their distance in Å.
Space group I4/mmm (No. 139)
One atom of each set of equivalent atoms:
Mo1 0.0000 0.0000 0.0000  8 Rh 2.74, 4 Mo 2.82
H1 0.0000 0.5000 0.2500  4 Rh 1.89, 4 H 2.00
Rh1 0.0000 0.0000 0.3500  4 H 1.89

***

Run Q
## MoH2Rh2 (PBE)

Data for a relaxed structure of MoH2Rh2.

a b c (Å): 6.0716 6.0716 2.8234
angles (deg): 90.00 90.00 90.00
Last column: nearest neighbours and their distance in Å.
Space group P4/mbm (No. 127)
One atom of each set of equivalent atoms:
Mo1 0.0000 0.0000 0.0000  4 H 2.16
H1 0.2183 0.2817 0.0000  2 Rh 1.81
Rh1 0.1500 0.6500 0.5000  2 H 1.81

***

Which structure is most stable? run P, by 183 meV/atom over the runner-up.

***

Run P
## MoHRh (PBE)

Data for a relaxed structure of MoHRh.

a b c (Å): 5.0420 4.4153 5.9811
angles (deg): 90.00 90.00 90.00
Last column: nearest neighbours and their distance in Å.
Space group Pnma (No. 62)
One atom of each set of equivalent atoms:
Mo1 0.0593 0.2500 0.1114  2 H 1.81-1.84
H1 0.0823 0.7500 0.6057  1 Rh 1.72, 2 Mo 1.81-1.84
Rh1 0.0909 0.2500 0.6420  1 H 1.72

***

Run Q
## MoHRh (PBE)

Data for a relaxed structure of MoHRh.

a b c (Å): 9.3685 2.7831 4.9565
angles (deg): 90.00 98.64 90.00
Last column: nearest neighbours and their distance in Å.
Space group C2/m (No. 12)
One atom of each set of equivalent atoms:
Mo1 0.1168 0.0000 0.3631  3 H 2.02
H1 0.2426 0.0000 0.7329  3 Rh 2.00-2.22, 3 Mo 2.02
Rh1 0.1159 0.5000 0.8662  3 H 2.00-2.22

***

Which structure is most stable? run Q, by 171 meV/atom over the runner-up.

***

Run P
## MoHRh3 (PBE)

Data for a relaxed structure of MoHRh3.

a b c (Å): 9.7453 5.5575 4.4397
angles (deg): 90.00 90.34 90.00
Last column: nearest neighbours and their distance in Å.
Space group C2/m (No. 12)
One atom of each set of equivalent atoms:
Mo1 0.1754 0.0000 0.2422  1 H 2.06
H1 0.0000 0.0000 0.5000  4 Rh 1.96, 2 Mo 2.06
H2 0.0000 0.5000 0.5000  6 Rh 1.99-2.01
Rh1 0.0862 0.2469 0.7543  2 H 1.96-1.99
Rh2 0.1708 0.5000 0.2482  1 H 2.01

***

Run Q
## MoHRh3 (PBE)

Data for a relaxed structure of MoHRh3.

a b c (Å): 3.9213 3.9213 3.9213
angles (deg): 90.00 90.00 90.00
Last column: nearest neighbours and their distance in Å.
Space group Pm-3m (No. 221)
One atom of each set of equivalent atoms:
Mo1 0.0000 0.0000 0.0000  12 Rh 2.77
H1 0.5000 0.5000 0.5000  6 Rh 1.96
Rh1 0.0000 0.5000 0.5000  2 H 1.96

***

Run R
## MoHRh3 (PBE)

Data for a relaxed structure of MoHRh3.

a b c (Å): 4.6896 4.6896 4.6896
angles (deg): 90.00 90.00 90.00
Last column: nearest neighbours and their distance in Å.
Space group Pm-3m (No. 221)
One atom of each set of equivalent atoms:
Mo1 0.0000 0.0000 0.0000  6 Rh 2.34
H1 0.5000 0.5000 0.5000  12 Rh 3.32
Rh1 0.0000 0.0000 0.5000  2 Mo 2.34

***

Which structure is most stable? run P, by 59 meV/atom over the runner-up.